First-principles (PBE) data for a relaxed Tb2TlSn crystal, as listed in Alexandria via LeMat-Bulk.

Cell: 6.1971 4.3402 8.9394 Å, 90.00 108.14 90.00°
With the nearest neighbours (Å) after each atom.
Space group P2_1/m (No. 11)
One atom of each set of equivalent atoms:
Tb (0.1935, 0.2500, 0.4277)  4 Tl 3.11-3.46, 3 Sn 3.17-3.46
Tb (0.2927, 0.7500, 0.0655)  4 Sn 3.17-3.45, 3 Tl 3.22-3.51
Tl (0.3932, 0.7500, 0.7000)  2 Sn 3.03, 5 Tb 3.11-3.22
Sn (0.1212, 0.2500, 0.7958)  2 Tl 3.03, 5 Tb 3.17-3.18

Output
formation energy from the elements: -0.55 eV per atom


First-principles (PBE) data for a relaxed LiMg7Pd2 crystal, as listed in Alexandria via LeMat-Bulk.

Cell: 8.1655 12.6199 5.0529 Å, 90.00 90.00 90.00°
With the nearest neighbours (Å) after each atom.
Space group Cmmm (No. 65)
One atom of each set of equivalent atoms:
Li (0.0000, 0.0000, 0.0000)  10 Mg 3.40-3.62
Mg (0.0000, 0.2867, 0.0000)  2 Pd 2.53
Mg (0.0000, 0.5000, 0.5000)  2 Pd 2.57
Mg (0.1919, 0.1299, 0.5000)  2 Pd 2.62-2.68
Pd (0.0000, 0.2961, 0.5000)  7 Mg 2.53-2.68

Output
formation energy from the elements: -0.15 eV per atom


First-principles (PBE) data for a relaxed CsSr3Pd crystal, as listed in Alexandria via LeMat-Bulk.

Cell: 4.4342 10.2766 11.6944 Å, 90.00 90.00 90.00°
With the nearest neighbours (Å) after each atom.
Space group Pmmn (No. 59, origin choice 2)
One atom of each set of equivalent atoms:
Cs (0.2500, 0.2500, 0.0484)  2 Cs 4.43, 6 Sr 4.75-4.83
Sr (0.2500, 0.5680, 0.6215)  3 Pd 3.27-3.53
Sr (0.2500, 0.7500, 0.3105)  2 Pd 3.08
Pd (0.2500, 0.2500, 0.5070)  6 Sr 3.08-3.27

Output
formation energy from the elements: -0.22 eV per atom
energy relative to the lowest polymorph listed for this composition: 0.018 eV per atom


First-principles (PBE) data for a relaxed U2TiCo4Ge3 crystal, as listed in Alexandria via LeMat-Bulk.

Cell: 3.8893 3.8893 10.1902 Å, 90.00 90.00 90.00°
With the nearest neighbours (Å) after each atom.
Space group P-4m2 (No. 115)
One atom of each set of equivalent atoms:
U (0.0000, 0.5000, 0.2484)  8 Co 2.96-3.19, 6 Ge 3.01-3.22, 2 Ti 3.22
Ti (0.0000, 0.0000, 0.5000)  4 Co 2.44
Co (0.0000, 0.0000, 0.0000)  4 Ge 2.34
Co (0.0000, 0.5000, 0.6443)  3 Ge 2.32-2.44, 2 Ti 2.44
Co (0.5000, 0.5000, 0.0000)  4 Ge 2.34
Ge (0.0000, 0.5000, 0.8720)  5 Co 2.32-2.34
Ge (0.5000, 0.5000, 0.5000)  4 Co 2.44

Output
formation energy from the elements: -0.36 eV per atom


First-principles (PBE) data for a relaxed InSb2Rh2 crystal, as listed in Alexandria via LeMat-Bulk.

Cell: 4.5904 4.5904 10.7771 Å, 90.00 90.00 90.00°
With the nearest neighbours (Å) after each atom.
Space group I4/mmm (No. 139)
One atom of each set of equivalent atoms:
In (0.0000, 0.0000, 0.0000)  8 Rh 3.51, 8 Sb 3.54
Sb (0.0000, 0.5000, 0.2500)  4 Rh 2.66
Rh (0.0000, 0.0000, 0.3749)  4 Sb 2.66, 1 Rh 2.70

Output
energy relative to the lowest polymorph listed for this composition: 0.195 eV per atom


First-principles (PBE) data for a relaxed Ca8ZnGa2 crystal, as listed in Alexandria via LeMat-Bulk.

Cell: 5.1921 8.8625 14.8283 Å, 90.00 90.00 90.00°
With the nearest neighbours (Å) after each atom.
Space group Immm (No. 71)
One atom of each set of equivalent atoms:
Ca (0.0000, 0.0000, 0.1353)  2 Zn 3.28, 8 Ca 3.50-3.67, 2 Ga 3.62
Ca (0.0000, 0.2112, 0.3392)  3 Ga 3.24-3.34, 1 Zn 3.50, 3 Ca 3.54-3.56
Ca (0.0000, 0.3232, 0.0000)  3 Ca 3.13-3.50, 2 Ga 3.29
Zn (0.0000, 0.5000, 0.5000)  8 Ca 3.28-3.50
Ga (0.0000, 0.5000, 0.1948)  10 Ca 3.24-3.62

Output
formation energy from the elements: -0.16 eV per atom
energy relative to the lowest polymorph listed for this composition: 0.079 eV per atom